No. 1
Compound: TaTi2ZnTe
Source: Alexandria via LeMat-Bulk
Functional: PBE
Structure: optimized geometry

Computed properties:
**Formation energy (no corrections)**: 5.6 eV/f.u.
**Electronic total energy**: -26.5 eV/cell
**Calculated density**: 7.3 Mg/m³
**Magnetic moment**: 0.0 μB per formula unit

```
data_TaTi2ZnTe
_chemical_formula_sum 'Ta1 Ti2 Zn1 Te1'
_cell_length_a 4.659
_cell_length_b 4.659
_cell_length_c 4.923
_cell_angle_alpha 90.00
_cell_angle_beta 90.00
_cell_angle_gamma 90.00
_symmetry_space_group_name_H-M 'P 1'
_symmetry_Int_Tables_number 1
_symmetry_space_group_name_Hall 'P 1'
loop_
_atom_site_label
_atom_site_type_symbol
_atom_site_fract_x
_atom_site_fract_y
_atom_site_fract_z
Ta1 Ta 0.000 0.000 0.000
Ti1 Ti 0.000 0.500 0.500
Ti2 Ti 0.500 0.000 0.500
Zn1 Zn 0.500 0.500 0.500
Te1 Te 0.500 0.500 0.000
```


No. 2
Compound: BaSr2Cd2In2
Source: Alexandria via LeMat-Bulk
Functional: PBE
Structure: optimized geometry

Computed properties:
**Formation energy**: -0.351 eV per atom
**Electronic total energy**: -15.0 eV/cell
**Calculated density**: 5.1 Mg/m³
**Magnetic moment**: 0.0 μB per formula unit

```
data_BaSr2Cd2In2
_chemical_formula_sum 'Ba1 Sr2 Cd2 In2'
_cell_length_a 11.152
_cell_length_b 11.152
_cell_length_c 11.152
_cell_angle_alpha 26.82
_cell_angle_beta 26.82
_cell_angle_gamma 26.82
_symmetry_space_group_name_H-M 'P 1'
_symmetry_Int_Tables_number 1
_symmetry_space_group_name_Hall 'P 1'
loop_
_atom_site_label
_atom_site_type_symbol
_atom_site_fract_x
_atom_site_fract_y
_atom_site_fract_z
Ba1 Ba 0.000 0.000 0.000
Sr1 Sr 0.127 0.127 0.127
Sr2 Sr 0.873 0.873 0.873
Cd1 Cd 0.406 0.406 0.406
Cd2 Cd 0.594 0.594 0.594
In1 In 0.255 0.255 0.255
In2 In 0.745 0.745 0.745
```


No. 3
Compound: Al2TlGeCl
Source: Alexandria via LeMat-Bulk
Functional: PBE
Structure: optimized geometry

Computed properties:
**Formation energy (no corrections)**: 1.2 eV/f.u.
**Electronic total energy**: -15.2 eV/cell
**Calculated density**: 4.5 Mg/m³
**Magnetic moment**: 0.0 μB per formula unit

```
data_Al2TlGeCl
_chemical_formula_sum 'Al2 Tl1 Ge1 Cl1'
_cell_length_a 5.075
_cell_length_b 5.075
_cell_length_c 5.295
_cell_angle_alpha 90.00
_cell_angle_beta 90.00
_cell_angle_gamma 90.00
_symmetry_space_group_name_H-M 'P 1'
_symmetry_Int_Tables_number 1
_symmetry_space_group_name_Hall 'P 1'
loop_
_atom_site_label
_atom_site_type_symbol
_atom_site_fract_x
_atom_site_fract_y
_atom_site_fract_z
Al1 Al 0.000 0.500 0.000
Al2 Al 0.500 0.000 0.000
Tl1 Tl 0.000 0.000 0.500
Ge1 Ge 0.500 0.500 0.000
Cl1 Cl 0.500 0.500 0.500
```


No. 4
Compound: BaLa2Mo
Source: Alexandria via LeMat-Bulk
Functional: PBE
Structure: optimized geometry

Computed properties:
**E above lowest polymorph**: 146 meV/atom
**Formation energy**: 0.500 eV per atom
**Electronic total energy**: -41.2 eV/cell
**Calculated density**: 5.7 Mg/m³
**Magnetic moment**: 0.0 μB per formula unit

```
data_BaLa2Mo
_chemical_formula_sum 'Ba2 La4 Mo2'
_cell_length_a 8.117
_cell_length_b 3.762
_cell_length_c 9.909
_cell_angle_alpha 90.00
_cell_angle_beta 96.93
_cell_angle_gamma 90.00
_symmetry_space_group_name_H-M 'P 1'
_symmetry_Int_Tables_number 1
_symmetry_space_group_name_Hall 'P 1'
loop_
_atom_site_label
_atom_site_type_symbol
_atom_site_fract_x
_atom_site_fract_y
_atom_site_fract_z
Ba1 Ba 0.000 0.000 0.000
Ba2 Ba 0.500 0.500 0.000
La1 La 0.226 0.000 0.662
La2 La 0.274 0.500 0.338
La3 La 0.726 0.500 0.662
La4 La 0.774 0.000 0.338
Mo1 Mo 0.000 0.500 0.500
Mo2 Mo 0.500 0.000 0.500
```


No. 5
Compound: TcMo3
Source: Alexandria via LeMat-Bulk
Functional: PBE
Structure: optimized geometry

Computed properties:
**E above lowest polymorph**: 0 meV/atom
**Formation energy**: 0.022 eV per atom
**Electronic total energy**: -85.5 eV/cell
**Calculated density**: 10.2 Mg/m³
**Magnetic moment**: 0.0 μB per formula unit

```
data_TcMo3
_chemical_formula_sum 'Tc2 Mo6'
_cell_length_a 5.010
_cell_length_b 5.010
_cell_length_c 5.010
_cell_angle_alpha 90.00
_cell_angle_beta 90.00
_cell_angle_gamma 90.00
_symmetry_space_group_name_H-M 'P 1'
_symmetry_Int_Tables_number 1
_symmetry_space_group_name_Hall 'P 1'
loop_
_atom_site_label
_atom_site_type_symbol
_atom_site_fract_x
_atom_site_fract_y
_atom_site_fract_z
Tc1 Tc 0.000 0.000 0.000
Tc2 Tc 0.500 0.500 0.500
Mo1 Mo 0.000 0.250 0.500
Mo2 Mo 0.000 0.750 0.500
Mo3 Mo 0.250 0.500 0.000
Mo4 Mo 0.500 0.000 0.250
Mo5 Mo 0.500 0.000 0.750
Mo6 Mo 0.750 0.500 0.000
```


No. 6
Compound: Sc2SiF
Source: Alexandria via LeMat-Bulk
Functional: PBE
Structure: optimized geometry

Computed properties:
**E above lowest polymorph**: 749 meV/atom
**Formation energy (no corrections)**: -3.2 eV/f.u.
**Electronic total energy**: -69.6 eV/cell
**Calculated density**: 3.2 Mg/m³
**Magnetic moment**: 0.0 μB per formula unit

```
data_Sc2SiF
_chemical_formula_sum 'Sc6 Si3 F3'
_cell_length_a 3.057
_cell_length_b 3.057
_cell_length_c 26.462
_cell_angle_alpha 90.00
_cell_angle_beta 90.00
_cell_angle_gamma 120.00
_symmetry_space_group_name_H-M 'P 1'
_symmetry_Int_Tables_number 1
_symmetry_space_group_name_Hall 'P 1'
loop_
_atom_site_label
_atom_site_type_symbol
_atom_site_fract_x
_atom_site_fract_y
_atom_site_fract_z
Sc1 Sc 0.000 0.000 0.100
Sc2 Sc 0.000 0.000 0.900
Sc3 Sc 0.333 0.667 0.566
Sc4 Sc 0.333 0.667 0.767
Sc5 Sc 0.667 0.333 0.233
Sc6 Sc 0.667 0.333 0.434
Si1 Si 0.000 0.000 0.000
Si2 Si 0.333 0.667 0.667
Si3 Si 0.667 0.333 0.333
F1 F 0.000 0.000 0.500
F2 F 0.333 0.667 0.167
F3 F 0.667 0.333 0.833
```


no.,D(E_F) (states/eV per cell)
1,6.22
2,4.42
3,2.32
4,11.80
5,7.14
6,7.41